Entry from the Alexandria database: a relaxed BaLiNi2Pb crystal (PBE-GGA).

```
data_BaLiNi2Pb
_chemical_formula_sum 'Ba1 Li1 Ni2 Pb1'
_cell_length_a 4.8534
_cell_length_b 4.8534
_cell_length_c 4.8104
_cell_angle_alpha 90.00
_cell_angle_beta 90.00
_cell_angle_gamma 90.00
_space_group_name_H-M_alt 'P 1'
_space_group_IT_number 1
loop_
_space_group_symop_operation_xyz
'x,y,z'
loop_
_atom_site_label
_atom_site_fract_x
_atom_site_fract_y
_atom_site_fract_z
Ba1 0.0000 0.0000 0.0000
Li1 0.5000 0.5000 0.5000
Ni1 0.0000 0.5000 0.5000
Ni2 0.5000 0.0000 0.5000
Pb1 0.5000 0.5000 0.0000
```

Calculated values
Formation energy from the elements   0.386 eV per atom
Symmetry   P4/mmm, No. 123

***

Entry from the Alexandria database: a relaxed RbBaLi2Ni crystal (PBE-GGA).

```
data_RbBaLi2Ni
_chemical_formula_sum 'Rb1 Ba1 Li2 Ni1'
_cell_length_a 5.2767
_cell_length_b 5.2767
_cell_length_c 5.8778
_cell_angle_alpha 90.00
_cell_angle_beta 90.00
_cell_angle_gamma 90.00
_space_group_name_H-M_alt 'P 1'
_space_group_IT_number 1
loop_
_space_group_symop_operation_xyz
'x,y,z'
loop_
_atom_site_label
_atom_site_fract_x
_atom_site_fract_y
_atom_site_fract_z
Rb1 0.0000 0.0000 0.0000
Ba1 0.5000 0.5000 0.0000
Li1 0.0000 0.5000 0.5000
Li2 0.5000 0.0000 0.5000
Ni1 0.0000 0.0000 0.5000
```

Calculated values
Formation energy from the elements   0.452 eV per atom
Symmetry   P4/mmm, No. 123